Entry 1:
## Eu2MnTe (GGA-PBE)

Data for a relaxed Eu2MnTe crystal.

a b c (Å): 4.032 5.379 5.379
angles (deg): 90.00 90.00 90.00
Each line ends with the local moment (μB).
Fractional positions:
Eu: 0.000 0.500 0.000  6.82
Mn: 0.500 0.500 0.500  3.92
Eu: 0.000 0.000 0.500  6.82
Te: 0.500 0.000 0.000  -0.03

Calculated values
Uncorrected formation energy: -0.33 eV/atom



Entry 2:
## Mn2SnAsPb (GGA-PBE)

Data for a relaxed Mn2SnAsPb crystal.

a b c (Å): 4.926 5.354 4.926
angles (deg): 90.00 90.00 90.00
Each line ends with the local moment (μB).
Fractional positions:
Mn: 0.000 0.000 0.500  0.09
Mn: 0.500 0.000 0.000  0.01
As: 0.000 0.500 0.000  -0.03
Sn: 0.500 0.500 0.500  0.03
Pb: 0.000 0.000 0.000  0.00

Calculated values
Formation enthalpy at 0 K: 1.798 eV per atom



Entry 3:
## RbTlIn4 (GGA-PBE)

Data for a relaxed RbTlIn4 crystal.

a b c (Å): 6.462 6.462 6.462
angles (deg): 60.00 60.00 60.00
Fractional positions:
Rb: 0.250 0.250 0.250
Tl: 0.000 0.000 0.000
In: 0.625 0.625 0.124
In: 0.124 0.625 0.625
In: 0.625 0.625 0.625
In: 0.625 0.124 0.625

Calculated values
Polymorph energy (0 for the lowest one): 0.035 eV per atom
Formation enthalpy at 0 K: -0.021 eV per atom



Entry 4:
## SnBi2Se6 (GGA-PBE)

Data for a relaxed SnBi2Se6 crystal.

a b c (Å): 6.637 6.637 12.921
angles (deg): 90.00 90.00 90.00
Fractional positions:
Bi: 0.000 0.000 0.833
Se: 0.190 0.810 0.658
Sn: 0.500 0.500 0.000
Sn: 0.000 0.000 0.500
Se: 0.810 0.190 0.658
Bi: 0.500 0.500 0.333
Se: 0.810 0.190 0.342
Se: 0.310 0.310 0.158
Se: 0.690 0.690 0.158
Se: 0.291 0.291 0.500
Bi: 0.000 0.000 0.167
Se: 0.690 0.690 0.842
Se: 0.791 0.209 0.000
Se: 0.310 0.310 0.842
Bi: 0.500 0.500 0.667
Se: 0.709 0.709 0.500
Se: 0.209 0.791 0.000
Se: 0.190 0.810 0.342

Calculated values
Uncorrected formation energy: -0.04 eV/atom



Copy entry 4 word for word.
## SnBi2Se6 (GGA-PBE)

Data for a relaxed SnBi2Se6 crystal.

a b c (Å): 6.637 6.637 12.921
angles (deg): 90.00 90.00 90.00
Fractional positions:
Bi: 0.000 0.000 0.833
Se: 0.190 0.810 0.658
Sn: 0.500 0.500 0.000
Sn: 0.000 0.000 0.500
Se: 0.810 0.190 0.658
Bi: 0.500 0.500 0.333
Se: 0.810 0.190 0.342
Se: 0.310 0.310 0.158
Se: 0.690 0.690 0.158
Se: 0.291 0.291 0.500
Bi: 0.000 0.000 0.167
Se: 0.690 0.690 0.842
Se: 0.791 0.209 0.000
Se: 0.310 0.310 0.842
Bi: 0.500 0.500 0.667
Se: 0.709 0.709 0.500
Se: 0.209 0.791 0.000
Se: 0.190 0.810 0.342

Calculated values
Uncorrected formation energy: -0.04 eV/atom



Please write out number 1 again, unchanged.
## Eu2MnTe (GGA-PBE)

Data for a relaxed Eu2MnTe crystal.

a b c (Å): 4.032 5.379 5.379
angles (deg): 90.00 90.00 90.00
Each line ends with the local moment (μB).
Fractional positions:
Eu: 0.000 0.500 0.000  6.82
Mn: 0.500 0.500 0.500  3.92
Eu: 0.000 0.000 0.500  6.82
Te: 0.500 0.000 0.000  -0.03

Calculated values
Uncorrected formation energy: -0.33 eV/atom